Entry 1:
Here is an optimized crystal structure of UFe3H6 from Alexandria via LeMat-Bulk. Energies are from GGA-PBE.

Summary:
DFT total energy: -5.77 eV per atom
M_tot: 1.41 Bohr magnetons per cell
Mass density: 8.85 Mg/m³

Cell lengths 4.556, 4.556, 5.038 Å; angles 90.00, 116.91, 120.00 degrees
Atoms (fractional coordinates):
Fe 0.671 0.335 0.006
Fe 0.363 0.681 0.044
H 0.546 0.440 0.255
U 0.786 0.893 0.680
Fe 0.126 0.063 0.189
H 0.815 0.106 0.255
H 0.851 0.421 0.771
H 0.149 0.709 0.255
H 0.351 0.431 0.772
H 0.341 0.920 0.772

Entry 2:
Here is an optimized crystal structure of UFeH4 from Alexandria via LeMat-Bulk. Energies are from GGA-PBE.

Summary:
DFT total energy: -5.64 eV per atom
M_tot: 4.43 Bohr magnetons per cell
Mass density: 10.41 Mg/m³

Cell lengths 4.611, 6.591, 4.971 Å; angles 109.78, 89.99, 134.41 degrees
Atoms (fractional coordinates):
U 0.386 0.636 0.273
H 0.302 0.552 0.766
H 0.964 0.214 0.766
H 0.698 0.448 0.234
U 0.614 0.364 0.727
H 0.058 0.134 0.268
H 0.710 0.134 0.268
H 0.942 0.866 0.732
H 0.036 0.786 0.234
Fe 0.676 0.926 0.852
Fe 0.324 0.074 0.148
H 0.290 0.866 0.732

Entry 3:
Here is an optimized crystal structure of UFeH2 from Alexandria via LeMat-Bulk. Energies are from GGA-PBE.

Summary:
DFT total energy: -6.59 eV per atom
M_tot: 0.06 Bohr magnetons per cell
Mass density: 13.15 Mg/m³

Cell lengths 2.891, 2.891, 5.424 Å; angles 74.54, 74.54, 60.00 degrees
Atoms (fractional coordinates):
H 0.717 0.717 0.848
H 0.283 0.283 0.152
U 0.500 0.500 0.500
Fe 0.000 0.000 0.000

Entry 4:
Here is an optimized crystal structure of UFe5H11 from Alexandria via LeMat-Bulk. Energies are from GGA-PBE.

Summary:
DFT total energy: -5.28 eV per atom
M_tot: 7.20 Bohr magnetons per cell
Mass density: 7.34 Mg/m³

Cell lengths 4.570, 5.490, 5.490 Å; angles 88.39, 110.85, 110.85 degrees
Atoms (fractional coordinates):
Fe 0.302 0.978 0.628
Fe 0.302 0.628 0.978
H 0.889 0.567 0.828
H 0.111 0.172 0.433
Fe 0.698 0.372 0.022
U 0.000 0.000 0.000
H 0.694 0.647 0.161
H 0.567 0.274 0.274
H 0.306 0.839 0.353
H 0.889 0.828 0.567
H 0.500 0.000 0.000
Fe 0.000 0.500 0.500
H 0.111 0.433 0.172
Fe 0.698 0.022 0.372
H 0.694 0.161 0.647
H 0.306 0.353 0.839
H 0.433 0.726 0.726